Material: Rb2MgGaSb2
Method: DFT, PBE
State: optimized geometry

- Total energy: -2.90 eV/atom
- Size of the total moment: 0.0 μB per cell
- D(E_F): 0.27 states/eV/atom
- Uncorrected formation energy: -41.5 kJ/mol of atoms

abc: 7.079 16.730 7.091
angles: 90.00 90.00 90.00
Space group Ibam (No. 72)
Asymmetric unit:
Rb  0.242  0.170  0.000 (multiplicity 8)
Mg  0.000  0.500  0.250 (multiplicity 4)
Ga  0.000  0.000  0.250 (multiplicity 4)
Sb  0.249  0.093  0.500 (multiplicity 8)

Material: Na2MoHBr
Method: DFT, PBE
State: optimized geometry

- Total energy: -2.83 eV/atom
- Size of the total moment: 4.8 μB per cell
- D(E_F): 0.44 states/eV/atom

abc: 5.699 5.699 5.278
angles: 90.00 90.00 90.00
Space group P4/mmm (No. 123)
Asymmetric unit:
Na  0.000  0.500  0.000 (multiplicity 2)
Mo  0.000  0.000  0.500 (multiplicity 1)
H  0.500  0.500  0.500 (multiplicity 1)
Br  0.000  0.000  0.000 (multiplicity 1)

Material: Dy4PuS7
Method: DFT, PBE
State: optimized geometry

- Total energy: -7.12 eV/atom
- Size of the total moment: 11.3 μB per cell
- D(E_F): 1.03 states/eV/atom
- Uncorrected formation energy: -191.7 kJ/mol of atoms

abc: 12.870 3.831 11.656
angles: 90.00 104.61 90.00
Space group Cm (No. 8)
Asymmetric unit:
Dy  0.000  0.000  0.000 (multiplicity 2)
Dy  0.083  0.500  0.389 (multiplicity 2)
Dy  0.188  0.000  0.768 (multiplicity 2)
Dy  0.386  0.500  0.579 (multiplicity 2)
Pu  0.270  0.500  0.156 (multiplicity 2)
S  0.045  0.500  0.629 (multiplicity 2)
S  0.122  0.500  0.925 (multiplicity 2)
S  0.143  0.000  0.228 (multiplicity 2)
S  0.227  0.000  0.529 (multiplicity 2)
S  0.344  0.500  0.793 (multiplicity 2)
S  0.385  0.000  0.074 (multiplicity 2)
S  0.428  0.500  0.366 (multiplicity 2)

Material: Ca3ZrRu
Method: DFT, PBE
State: optimized geometry

- Energy above the lowest structure with this stoichiometry: 0 meV per atom
- Total energy: -4.10 eV/atom
- Size of the total moment: 1.1 μB per cell
- D(E_F): 1.35 states/eV/atom

abc: 5.359 5.359 5.359
angles: 90.00 90.00 90.00
Space group Pm-3m (No. 221)
Asymmetric unit:
Ca  0.000  0.000  0.500 (multiplicity 3)
Zr  0.500  0.500  0.500 (multiplicity 1)
Ru  0.000  0.000  0.000 (multiplicity 1)

Material: ZnMo4Br
Method: DFT, PBE
State: optimized geometry

- Total energy: -6.87 eV/atom
- Size of the total moment: 0.0 μB per cell
- D(E_F): 0.60 states/eV/atom
- Uncorrected formation energy: 81.6 kJ/mol of atoms

abc: 7.509 7.509 7.509
angles: 90.00 90.00 90.00
Space group F-43m (No. 216)
Asymmetric unit:
Zn  0.000  0.000  0.000 (multiplicity 4)
Mo  0.123  0.123  0.623 (multiplicity 16)
Br  0.250  0.250  0.250 (multiplicity 4)

Material: Ca2AsCS
Method: DFT, PBE
State: optimized geometry

- Total energy: -3.84 eV/atom
- Size of the total moment: 1.3 μB per cell
- D(E_F): 0.50 states/eV/atom
- Uncorrected formation energy: 53.9 kJ/mol of atoms

abc: 5.246 5.246 4.764
angles: 90.00 90.00 90.00
Space group P4/mmm (No. 123)
Asymmetric unit:
Ca  0.000  0.500  0.000 (multiplicity 2)
As  0.000  0.000  0.500 (multiplicity 1)
C  0.500  0.500  0.500 (multiplicity 1)
S  0.000  0.000  0.000 (multiplicity 1)

Material: Ge3BiRu
Method: DFT, PBE
State: optimized geometry

- Energy above the lowest structure with this stoichiometry: 0 meV per atom
- Total energy: -5.15 eV/atom
- Size of the total moment: 0.0 μB per cell
- D(E_F): 0.70 states/eV/atom

abc: 4.994 4.994 4.994
angles: 90.00 90.00 90.00
Space group Pm-3m (No. 221)
Asymmetric unit:
Ge  0.000  0.000  0.500 (multiplicity 3)
Bi  0.500  0.500  0.500 (multiplicity 1)
Ru  0.000  0.000  0.000 (multiplicity 1)

Material: SrMgPBr
Method: DFT, PBE
State: optimized geometry

- Total energy: -3.98 eV/atom
- Size of the total moment: 0.0 μB per cell
- D(E_F): 0.00 states/eV/atom
- Uncorrected formation energy: -133.7 kJ/mol of atoms

abc: 4.3774 4.3774 43.1110
angles: 90.00 90.00 120.00
Space group R-3m (No. 166, hexagonal axes)
Asymmetric unit:
Sr  0.0000  0.0000  0.0840 (multiplicity 6)
Mg  0.0000  0.0000  0.3117 (multiplicity 6)
P  0.0000  0.0000  0.3728 (multiplicity 6)
Br  0.0000  0.0000  0.2103 (multiplicity 6)

Material: ZnCd2Cu
Method: DFT, PBE
State: optimized geometry

- Total energy: -1.72 eV/atom
- Size of the total moment: 0.0 μB per cell
- D(E_F): 0.28 states/eV/atom

abc: 4.350 4.359 7.434
angles: 90.00 90.00 90.00
Space group Cmmm (No. 65)
Asymmetric unit:
Zn  0.000  0.000  0.000 (multiplicity 2)
Cd  0.000  0.500  0.264 (multiplicity 4)
Cu  0.000  0.000  0.500 (multiplicity 2)

Material: TbYP
Method: DFT, PBE
State: optimized geometry

- Energy above the lowest structure with this stoichiometry: 0 meV per atom
- Total energy: -6.50 eV/atom
- Size of the total moment: 0.0 μB per cell
- D(E_F): 0.90 states/eV/atom

abc: 12.779 3.920 6.674
angles: 90.00 90.00 90.00
Space group Pnma (No. 62)
Asymmetric unit:
Tb  0.250  0.250  0.076 (multiplicity 4)
Y  0.002  0.250  0.752 (multiplicity 4)
P  0.123  0.250  0.411 (multiplicity 4)

Material: Nd4TmIn
Method: DFT, PBE
State: optimized geometry

- Energy above the lowest structure with this stoichiometry: 0 meV per atom
- Total energy: -4.40 eV/atom
- Size of the total moment: 0.0 μB per cell
- D(E_F): 1.11 states/eV/atom

abc: 5.702 21.404 6.482
angles: 90.00 90.00 90.00
Space group Cmc2_1 (No. 36)
Asymmetric unit:
Nd  0.000  0.045  0.000 (multiplicity 4)
Nd  0.000  0.188  0.151 (multiplicity 4)
Nd  0.000  0.249  0.685 (multiplicity 4)
Nd  0.000  0.438  0.819 (multiplicity 4)
Tm  0.000  0.363  0.301 (multiplicity 4)
In  0.000  0.104  0.552 (multiplicity 4)

Material: TeOsS2N
Method: DFT, PBE
State: optimized geometry

- Energy above the lowest structure with this stoichiometry: 0 meV per atom
- Total energy: -5.72 eV/atom
- Size of the total moment: 0.0 μB per cell
- D(E_F): 0.88 states/eV/atom
- Uncorrected formation energy: 45.3 kJ/mol of atoms

abc: 4.871 4.871 3.718
angles: 90.00 90.00 90.00
Space group P4/mmm (No. 123)
Asymmetric unit:
Te  0.000  0.000  0.000 (multiplicity 1)
Os  0.500  0.500  0.500 (multiplicity 1)
S  0.000  0.500  0.500 (multiplicity 2)
N  0.500  0.500  0.000 (multiplicity 1)

Material: KPuAu2Br8
Method: DFT, PBE
State: optimized geometry

- Total energy: -3.79 eV/atom
- Size of the total moment: 3.6 μB per cell
- D(E_F): 1.03 states/eV/atom
- Uncorrected formation energy: -81.3 kJ/mol of atoms

abc: 7.528 7.542 9.320
angles: 91.85 104.95 115.79
Space group P-1 (No. 2)
Asymmetric unit:
K  0.000  0.000  0.000 (multiplicity 1)
Pu  0.000  0.000  0.500 (multiplicity 1)
Au  0.470  0.442  0.795 (multiplicity 2)
Br  0.226  0.425  0.554 (multiplicity 2)
Br  0.232  0.501  0.991 (multiplicity 2)
Br  0.241  0.951  0.755 (multiplicity 2)
Br  0.252  0.980  0.346 (multiplicity 2)

Material: Al2IrAu
Method: DFT, PBE
State: optimized geometry

- Total energy: -5.34 eV/atom
- Size of the total moment: 0.0 μB per cell
- D(E_F): 0.56 states/eV/atom

abc: 2.9373 2.9373 25.0211
angles: 90.00 90.00 120.00
Space group R-3m (No. 166, hexagonal axes)
Asymmetric unit:
Al  0.0000  0.0000  0.2446 (multiplicity 6)
Ir  0.0000  0.0000  0.5000 (multiplicity 3)
Au  0.0000  0.0000  0.0000 (multiplicity 3)

Material: LiCrCo
Method: DFT, PBE
State: optimized geometry

- Energy above the lowest structure with this stoichiometry: 84 meV per atom
- Total energy: -5.86 eV/atom
- Size of the total moment: 0.0 μB per cell
- D(E_F): 0.34 states/eV/atom

abc: 2.775 2.775 9.042
angles: 90.00 90.00 90.00
Space group I4mm (No. 107)
Asymmetric unit:
Li  0.000  0.000  0.000 (multiplicity 2)
Cr  0.000  0.000  0.692 (multiplicity 2)
Co  0.000  0.000  0.326 (multiplicity 2)

Material: SrFeCu2
Method: DFT, PBE
State: optimized geometry

- Total energy: -4.24 eV/atom
- Size of the total moment: 3.1 μB per cell
- D(E_F): 1.17 states/eV/atom

abc: 3.216 3.291 6.855
angles: 90.00 90.00 90.00
Space group Pmmm (No. 47)
Asymmetric unit:
Sr  0.000  0.000  0.000 (multiplicity 1)
Fe  0.000  0.000  0.500 (multiplicity 1)
Cu  0.500  0.500  0.323 (multiplicity 2)

Material: Pm2Ga3Ni4Rh
Method: DFT, PBE
State: optimized geometry

- Total energy: -5.42 eV/atom
- Size of the total moment: 0.0 μB per cell
- D(E_F): 0.88 states/eV/atom

abc: 3.951 3.951 10.731
angles: 90.00 90.00 90.00
Space group P-4m2 (No. 115)
Asymmetric unit:
Pm  0.000  0.500  0.242 (multiplicity 2)
Ga  0.000  0.000  0.000 (multiplicity 1)
Ga  0.000  0.500  0.628 (multiplicity 2)
Ni  0.000  0.000  0.500 (multiplicity 1)
Ni  0.000  0.500  0.853 (multiplicity 2)
Ni  0.500  0.500  0.500 (multiplicity 1)
Rh  0.500  0.500  0.000 (multiplicity 1)

Material: LiTm2TlSe4
Method: DFT, PBE
State: optimized geometry

- Total energy: -4.89 eV/atom
- Size of the total moment: 0.0 μB per cell
- Uncorrected formation energy: -143.9 kJ/mol of atoms

abc: 4.130 13.838 14.554
angles: 90.00 90.00 90.00
Space group Cmcm (No. 63)
Asymmetric unit:
Li  0.000  0.171  0.250 (multiplicity 4)
Tm  0.000  0.366  0.562 (multiplicity 8)
Tl  0.000  0.106  0.750 (multiplicity 4)
Se  0.000  0.000  0.000 (multiplicity 4)
Se  0.000  0.265  0.106 (multiplicity 8)
Se  0.000  0.428  0.750 (multiplicity 4)

Material: B7C3
Method: DFT, PBE
State: optimized geometry

- Energy above the lowest structure with this stoichiometry: 105 meV per atom
- Total energy: -7.04 eV/atom
- Size of the total moment: 0.0 μB per cell
- D(E_F): 0.20 states/eV/atom

abc: 2.711 2.711 20.381
angles: 90.00 90.00 90.00
Space group I-4m2 (No. 119)
Asymmetric unit:
B  0.000  0.000  0.000 (multiplicity 2)
B  0.000  0.000  0.213 (multiplicity 4)
B  0.000  0.500  0.063 (multiplicity 4)
B  0.000  0.500  0.641 (multiplicity 4)
C  0.000  0.000  0.395 (multiplicity 4)
C  0.000  0.500  0.250 (multiplicity 2)

Material: AlTcTe2
Method: DFT, PBE
State: optimized geometry

- Total energy: -4.63 eV/atom
- Size of the total moment: 0.0 μB per cell
- D(E_F): 1.10 states/eV/atom
- Uncorrected formation energy: 44.9 kJ/mol of atoms

abc: 6.745 7.240 3.326
angles: 90.00 96.14 90.00
Space group C2/m (No. 12)
Asymmetric unit:
Al  0.000  0.000  0.000 (multiplicity 2)
Tc  0.000  0.500  0.000 (multiplicity 2)
Te  0.250  0.250  0.500 (multiplicity 4)